Version P
The following is a PBE calculation of PuReAg after structural relaxation, from OQMD via LeMat-Bulk.

Cell lengths 6.387, 6.387, 6.387 Å; angles 90.00, 90.00, 90.00 degrees
Space group F-43m (No. 216)
Inequivalent atoms, fractional coordinates:
Pu 0.000 0.000 0.000 [4 per cell]
Re 0.000 0.000 0.500 [4 per cell]
Ag 0.250 0.250 0.250 [4 per cell]

Version Q
The following is a PBE calculation of PuReAg after structural relaxation, from OQMD via LeMat-Bulk.

Cell lengths 6.356, 6.356, 6.356 Å; angles 90.00, 90.00, 90.00 degrees
Space group F-43m (No. 216)
Inequivalent atoms, fractional coordinates:
Pu 0.000 0.000 0.000 [4 per cell]
Re 0.250 0.250 0.750 [4 per cell]
Ag 0.250 0.250 0.250 [4 per cell]

Verdict on stability: version Q comes out on top.

Version P
The following is a PBE calculation of PuTcAg after structural relaxation, from OQMD via LeMat-Bulk.

Cell lengths 6.368, 6.368, 6.368 Å; angles 90.00, 90.00, 90.00 degrees
Space group F-43m (No. 216)
Inequivalent atoms, fractional coordinates:
Pu 0.000 0.000 0.000 [4 per cell]
Tc 0.000 0.000 0.500 [4 per cell]
Ag 0.250 0.250 0.250 [4 per cell]

Version Q
The following is a PBE calculation of PuTcAg after structural relaxation, from OQMD via LeMat-Bulk.

Cell lengths 6.401, 6.401, 6.401 Å; angles 90.00, 90.00, 90.00 degrees
Space group F-43m (No. 216)
Inequivalent atoms, fractional coordinates:
Pu 0.000 0.000 0.000 [4 per cell]
Tc 0.250 0.250 0.250 [4 per cell]
Ag 0.250 0.250 0.750 [4 per cell]

Verdict on stability: version Q comes out on top.

Version P
The following is a PBE calculation of PuTlAg after structural relaxation, from OQMD via LeMat-Bulk.

Cell lengths 6.986, 6.986, 6.986 Å; angles 90.00, 90.00, 90.00 degrees
Space group F-43m (No. 216)
Inequivalent atoms, fractional coordinates:
Pu 0.000 0.000 0.000 [4 per cell]
Tl 0.250 0.250 0.750 [4 per cell]
Ag 0.000 0.000 0.500 [4 per cell]

Version Q
The following is a PBE calculation of PuTlAg after structural relaxation, from OQMD via LeMat-Bulk.

Cell lengths 5.1109, 5.1109, 3.1714 Å; angles 90.00, 90.00, 120.00 degrees
Space group P-6m2 (No. 187)
Inequivalent atoms, fractional coordinates:
Pu 0.0000 0.0000 0.0000 [1 per cell]
Tl 0.3333 0.6667 0.5000 [1 per cell]
Ag 0.6667 0.3333 0.5000 [1 per cell]

Verdict on stability: version Q comes out on top.

Version P
The following is a PBE calculation of Rb2Ag after structural relaxation, from OQMD via LeMat-Bulk.

Cell lengths 10.600, 10.600, 10.600 Å; angles 90.00, 90.00, 90.00 degrees
Space group Fd-3m (No. 227, origin choice 2)
Inequivalent atoms, fractional coordinates:
Rb 0.000 0.000 0.000 [16 per cell]
Ag 0.125 0.125 0.625 [8 per cell]

Version Q
The following is a PBE calculation of Rb2Ag after structural relaxation, from OQMD via LeMat-Bulk.

Cell lengths 15.320, 15.320, 15.320 Å; angles 90.00, 90.00, 90.00 degrees
Space group Fd-3m (No. 227, origin choice 2)
Inequivalent atoms, fractional coordinates:
Rb 0.000 0.000 0.000 [16 per cell]
Ag 0.125 0.125 0.125 [8 per cell]

Verdict on stability: version Q comes out on top.